1.
Compound: ZrBe4Ni2
Source: Alexandria
Functional: PBE-GGA
Structure: relaxed

Computed properties:
energy relative to the elements = -0.296 eV/atom

```
data_ZrBe4Ni2
_space_group_name_H-M_alt 'C 1 2/m 1'
_space_group_IT_number 12
_cell_length_a 7.233
_cell_length_b 5.630
_cell_length_c 4.704
_cell_angle_alpha 90.00
_cell_angle_beta 128.86
_cell_angle_gamma 90.00
loop_
_space_group_symop_operation_xyz
'x,y,z'
'-x,-y,-z'
'-x,y,-z'
'x,-y,z'
'x+1/2,y+1/2,z'
'-x+1/2,-y+1/2,-z'
'-x+1/2,y+1/2,-z'
'x+1/2,-y+1/2,z'
loop_
_atom_site_label
_atom_site_fract_x
_atom_site_fract_y
_atom_site_fract_z
Zr1 0.000 0.000 0.000
Be1 0.186 0.186 0.676
Ni1 0.004 0.500 0.754
```



2.
Compound: NaAgPb3
Source: Alexandria
Functional: PBE-GGA
Structure: relaxed

Computed properties:
relative energy among the computed polymorphs = 0 meV/atom
energy relative to the elements = -0.010 eV/atom

```
data_NaAgPb3
_space_group_name_H-M_alt 'P 1 21/m 1'
_space_group_IT_number 11
_cell_length_a 5.788
_cell_length_b 7.172
_cell_length_c 7.361
_cell_angle_alpha 90.00
_cell_angle_beta 108.57
_cell_angle_gamma 90.00
loop_
_space_group_symop_operation_xyz
'x,y,z'
'-x,-y,-z'
'-x,y+1/2,-z'
'x,-y+1/2,z'
loop_
_atom_site_label
_atom_site_fract_x
_atom_site_fract_y
_atom_site_fract_z
Na1 0.130 0.250 0.214
Ag1 0.452 0.750 0.994
Pb1 0.127 0.750 0.255
Pb2 0.320 0.503 0.649
```



Q: energy relative to the elements of number 1 (ZrBe4Ni2)?
A: -0.296 eV/atom



Q: Which formula does entry 2 have?
A: NaAgPb3



Q: The highest energy relative to the elements belongs to which entry?
A: NaAgPb3